DFT (PBE+U) results for crystalline ErMn2O3 at its relaxed geometry.

Output
Uncorrected energy, eV per cell: -186.3

Cell lengths 5.9812, 6.3785, 9.2251 Å; angles 90.00, 90.00, 90.00 degrees
Positions (direct):
Er (0.5000, 0.3908, 0.3314)
Er (0.5000, 0.6092, 0.6686)
Er (0.5000, 0.1092, 0.8314)
Er (0.5000, 0.8908, 0.1686)
Mn (0.2316, 0.0000, 0.5000)
Mn (0.7684, 0.0000, 0.5000)
Mn (0.7684, 0.5000, 0.0000)
Mn (0.2316, 0.5000, 0.0000)
Mn (0.0000, 0.0975, 0.1516)
Mn (0.0000, 0.9025, 0.8484)
Mn (0.0000, 0.4025, 0.6516)
Mn (0.0000, 0.5975, 0.3484)
O (0.2698, 0.1021, 0.3024)
O (0.7302, 0.8979, 0.6976)
O (0.2698, 0.8979, 0.6976)
O (0.7302, 0.3979, 0.8024)
O (0.7302, 0.1021, 0.3024)
O (0.2698, 0.6021, 0.1976)
O (0.7302, 0.6021, 0.1976)
O (0.2698, 0.3979, 0.8024)
O (0.2586, 0.0000, 0.0000)
O (0.7414, 0.0000, 0.0000)
O (0.7414, 0.5000, 0.5000)
O (0.2586, 0.5000, 0.5000)


DFT (PBE+U) results for crystalline Er12Mn3O5 at its relaxed geometry.

Output
Uncorrected energy, eV per cell: -510.2

Cell lengths 13.3080, 13.3080, 13.3080 Å; angles 109.47, 109.47, 109.47 degrees
Positions (direct):
Mn (0.7500, 0.3750, 0.1250)
Mn (0.8750, 0.7500, 0.1250)
Mn (0.3750, 0.7500, 0.6250)
Mn (0.2500, 0.1250, 0.3750)
Mn (0.8750, 0.1250, 0.2500)
Mn (0.3750, 0.6250, 0.2500)
Mn (0.6250, 0.3750, 0.7500)
Mn (0.1250, 0.8750, 0.7500)
Mn (0.7500, 0.8750, 0.6250)
Mn (0.6250, 0.2500, 0.3750)
Mn (0.1250, 0.2500, 0.8750)
Mn (0.2500, 0.6250, 0.8750)
O (0.1250, 0.3750, 0.2500)
O (0.0000, 0.5000, 0.0000)
O (0.0000, 0.0000, 0.0000)
O (0.3750, 0.2500, 0.1250)
O (0.5000, 0.0000, 0.5000)
O (0.5000, 0.5000, 0.0000)
O (0.1250, 0.7500, 0.3750)
O (0.7500, 0.1250, 0.8750)
O (0.7500, 0.6250, 0.3750)
O (0.3750, 0.1250, 0.7500)
O (0.6250, 0.8750, 0.2500)
O (0.5000, 0.5000, 0.5000)
O (0.5000, 0.0000, 0.0000)
O (0.0000, 0.0000, 0.5000)
O (0.2500, 0.3750, 0.6250)
O (0.2500, 0.8750, 0.1250)
O (0.0000, 0.5000, 0.5000)
O (0.8750, 0.2500, 0.6250)
O (0.6250, 0.7500, 0.8750)
O (0.8750, 0.6250, 0.7500)
Er (0.6971, 0.1058, 0.0086)
Er (0.3115, 0.5086, 0.4028)
Er (0.9914, 0.3942, 0.3029)
Er (0.5086, 0.1971, 0.1058)
Er (0.5913, 0.6971, 0.6885)
Er (0.9914, 0.5972, 0.1885)
Er (0.3115, 0.8029, 0.4087)
Er (0.0972, 0.9087, 0.1058)
Er (0.5972, 0.9914, 0.6885)
Er (0.6971, 0.5913, 0.1885)
Er (0.8029, 0.4914, 0.3942)
Er (0.8115, 0.9028, 0.0086)
Er (0.1058, 0.6971, 0.5086)
Er (0.3942, 0.4028, 0.0913)
Er (0.0913, 0.9028, 0.3942)
Er (0.4087, 0.1058, 0.5972)
Er (0.0913, 0.1885, 0.1971)
Er (0.4914, 0.6885, 0.0972)
Er (0.8115, 0.9087, 0.3029)
Er (0.1058, 0.4087, 0.0972)
Er (0.3942, 0.9914, 0.8029)
Er (0.5972, 0.6058, 0.4087)
Er (0.9028, 0.8115, 0.5086)
Er (0.8029, 0.3115, 0.9087)
Er (0.4028, 0.3942, 0.5913)
Er (0.0972, 0.1885, 0.4914)
Er (0.1971, 0.6885, 0.0913)
Er (0.1885, 0.0913, 0.6971)
Er (0.6058, 0.0086, 0.1971)
Er (0.8942, 0.5913, 0.9028)
Er (0.5086, 0.3115, 0.9028)
Er (0.5913, 0.8942, 0.4028)
Er (0.9087, 0.8115, 0.8029)
Er (0.9087, 0.0972, 0.6058)
Er (0.8942, 0.3029, 0.4914)
Er (0.1885, 0.0972, 0.9914)
Er (0.6058, 0.5972, 0.9087)
Er (0.4028, 0.0086, 0.3115)
Er (0.3029, 0.4087, 0.8115)
Er (0.1971, 0.5086, 0.6058)
Er (0.9028, 0.0913, 0.8942)
Er (0.6885, 0.1971, 0.5913)
Er (0.4914, 0.8029, 0.8942)
Er (0.0086, 0.4028, 0.8115)
Er (0.4087, 0.3029, 0.3115)
Er (0.0086, 0.6058, 0.6971)
Er (0.6885, 0.4914, 0.5972)
Er (0.3029, 0.8942, 0.9914)


Computed values of total magnetization (unit: μB/cell) for the preceding records, in sequence: 36.115 52.365.